No. 1
First-principles (PBE) data for a geometry-optimized ZnCu2Mo structure, as listed in Alexandria via LeMat-Bulk.

## Properties
The space-group type is Pmmm (47). The crystal system is orthorhombic. For the formation energy, the calculation gives 16 kJ/mol of atoms. As for the density: 8.830 g cm⁻³. For the total magnetization, the calculation gives 0.0 μB/f.u.

extended XYZ file:
```
4
Lattice="-0.5423 -2.0519 -1.4936 1.1020 -2.3219 2.7897 -5.1450 -0.0744 1.9704" Properties=species:S:1:pos:R:3 pbc="T T T"
Cu -5.1135 -0.0740 1.9584
Cu -2.6040 -0.0377 0.9973
Mo -1.0064 -2.2055 1.1407
Zn -3.5789 -2.2427 2.1259
```

No. 2
First-principles (PBE) data for a geometry-optimized BaIrN2O structure, as listed in Alexandria via LeMat-Bulk.

## Properties
The space-group type is P4/mmm (123). The crystal system is tetragonal. As for the formation energy without anion corrections: 2.498 eV/atom. As for the density: 6.266 g cm⁻³. For the total magnetization, the calculation gives 4.7 μB/f.u.

extended XYZ file:
```
5
Lattice="4.6576 0.0000 0.0000 0.0000 4.6576 0.0000 0.0000 0.0000 4.5631" Properties=species:S:1:pos:R:3 pbc="T T T"
Ir 2.3288 2.3288 2.2815
Ba 0.0000 0.0000 0.0000
O 0.0000 0.0000 2.2815
N 0.0000 2.3288 0.0000
N 2.3288 0.0000 0.0000
```

Question: What is the formula in the second record?
Answer: BaIrN2O

Please write out number 1 again, unchanged.
First-principles (PBE) data for a geometry-optimized ZnCu2Mo structure, as listed in Alexandria via LeMat-Bulk.

## Properties
The space-group type is Pmmm (47). The crystal system is orthorhombic. For the formation energy, the calculation gives 16 kJ/mol of atoms. As for the density: 8.830 g cm⁻³. For the total magnetization, the calculation gives 0.0 μB/f.u.

extended XYZ file:
```
4
Lattice="-0.5423 -2.0519 -1.4936 1.1020 -2.3219 2.7897 -5.1450 -0.0744 1.9704" Properties=species:S:1:pos:R:3 pbc="T T T"
Cu -5.1135 -0.0740 1.9584
Cu -2.6040 -0.0377 0.9973
Mo -1.0064 -2.2055 1.1407
Zn -3.5789 -2.2427 2.1259
```